w) CuGePt3, optimized geometry, DFT PBE; space group = P2_1/c; DOS at the Fermi energy = 9.7 states/eV/cell
1.0
4.524 0.000 0.000
0.000 7.829 -1.467
0.000 -3.552 9.145
Cu Ge Pt
4 4 12
Cartesian
0.692 2.984 2.388 Cu
3.832 1.293 5.290 Cu
1.570 -2.706 7.694 Cu
2.954 6.984 -0.016 Cu
3.259 1.977 0.193 Ge
0.997 0.162 3.647 Ge
1.265 2.301 7.486 Ge
3.527 4.115 4.032 Ge
1.582 0.082 6.113 Pt
0.680 5.772 0.807 Pt
2.922 1.557 2.709 Pt
0.660 0.581 1.130 Pt
1.602 2.720 4.969 Pt
2.942 4.195 1.565 Pt
1.045 3.105 -0.231 Pt
3.480 1.172 7.909 Pt
3.845 -1.495 6.871 Pt
3.865 3.696 6.548 Pt
1.217 5.244 3.609 Pt
3.307 -0.966 4.070 Pt


x) CuGePt3, optimized geometry, DFT PBE; space group = Pm-3m; DOS at the Fermi energy = 4.8 states/eV/cell
1.0
-2.285 3.701 -1.578
-0.438 -2.032 -4.133
-3.999 -1.892 1.354
Ge Cu Pt
1 1 3
Cartesian
0.000 0.000 0.000 Ge
-3.361 -0.112 -2.178 Cu
-0.219 -1.016 -2.067 Pt
-1.999 -0.946 0.677 Pt
-1.143 1.850 -0.789 Pt


It is w) that is most stable; the runner-up trails by 84.2 kJ/mol of atoms.